Nd4HoAg5, optimized geometry, DFT PBE; DFT total energy = -4.062 eV per atom; D(E_F) = 7.0 states/eV per cell; spin magnetization = 0.00 μB per formula unit; calculated formation energy = -0.27 eV/atom
1.0
-3.595 0.725 -0.436
-0.842 -3.263 1.512
-0.455 8.090 17.206
Ag Nd Ho
5 4 1
Direct
0.500 0.500 0.910 Ag
0.500 0.500 0.297 Ag
0.500 0.500 0.090 Ag
0.500 0.500 0.500 Ag
0.500 0.500 0.703 Ag
0.000 0.000 0.195 Nd
0.000 0.000 0.399 Nd
0.000 0.000 0.805 Nd
0.000 0.000 0.601 Nd
0.000 0.000 0.000 Ho